Here is a relaxed structure of Ba2SnP2N6 from Alexandria. Energies are from PBE.

The density of states at the Fermi level comes out at 0.642 states/eV/cell. The raw total energy comes out at -6.7139 eV per atom. The crystal system is trigonal. The formation energy without anion corrections comes out at -0.48 eV per atom.

It has space group R-3m (No. 166, hexagonal axes), with a = 5.7100 Å, b = 5.7100 Å, c = 17.8894 Å, α = 90.00°, β = 90.00° and γ = 120.00°. The distinct sites, in fractional coordinates, are Ba at (0.0000, 0.0000, 0.2153), Sn at (0.0000, 0.0000, 0.0000), P at (0.0000, 0.0000, 0.4059) and N at (0.0130, 0.5065, 0.2568).

***

Here is a relaxed structure of MnSb5 from Alexandria. Energies are from PBE.

The density of states at the Fermi level comes out at 4.789 states/eV/cell. The raw total energy comes out at -4.8084 eV per atom. The crystal system is monoclinic. The polymorph energy (0 for the lowest one) is 0.000 eV per atom. The formation energy without anion corrections comes out at 0.16 eV per atom.

It has space group Cm (No. 8), with a = 13.9824 Å, b = 3.4361 Å, c = 7.7092 Å, α = 90.00°, β = 110.31° and γ = 90.00°. The distinct sites, in fractional coordinates, are Mn at (0.0000, 0.0000, 0.0000), Sb at (0.0025, 0.0000, 0.3625), Sb at (0.1054, 0.5000, 0.8262), Sb at (0.1453, 0.5000, 0.2260), Sb at (0.3559, 0.0000, 0.0477) and Sb at (0.3864, 0.0000, 0.6936).

***

In the order shown, the computed M_tot values come out to 0.00 1.79 μB/f.u..